[1]
The following is a DFT calculation (GGA-PBE) of an optimized crystal structure of AlPd2Se.

Lattice parameters (Å, degrees): 6.3663 6.3663 6.3663 90.00 90.00 90.00
Sites, in units of the cell vectors:
1 Al 0.0000 0.0000 0.0000
2 Al 0.0000 0.5000 0.5000
3 Al 0.5000 0.0000 0.5000
4 Al 0.5000 0.5000 0.0000
5 Pd 0.2500 0.2500 0.2500
6 Pd 0.2500 0.2500 0.7500
7 Pd 0.2500 0.7500 0.2500
8 Pd 0.2500 0.7500 0.7500
9 Pd 0.7500 0.2500 0.2500
10 Pd 0.7500 0.2500 0.7500
11 Pd 0.7500 0.7500 0.2500
12 Pd 0.7500 0.7500 0.7500
13 Se 0.0000 0.0000 0.5000
14 Se 0.0000 0.5000 0.0000
15 Se 0.5000 0.0000 0.0000
16 Se 0.5000 0.5000 0.5000

space-group type	Fm-3m, No. 225
VASP energy	-4.74	eV per atom
V	258.03	Å³/cell
formation energy without anion corrections	-0.339	eV/atom

---

[2]
The following is a DFT calculation (GGA-PBE) of an optimized crystal structure of Sm2AlPdSe5.

Lattice parameters (Å, degrees): 9.1982 9.1982 11.3973 90.00 90.00 155.12
Sites, in units of the cell vectors:
1 Sm 0.1075 0.8925 0.5000
2 Sm 0.1273 0.8727 0.8737
3 Sm 0.8727 0.1273 0.3737
4 Sm 0.8925 0.1075 0.0000
5 Al 0.4076 0.5924 0.6790
6 Al 0.5924 0.4076 0.1790
7 Pd 0.1951 0.8049 0.1612
8 Pd 0.8049 0.1951 0.6612
9 Se 0.0281 0.9719 0.2658
10 Se 0.2820 0.7180 0.5192
11 Se 0.3038 0.6962 0.8359
12 Se 0.3569 0.6431 0.1838
13 Se 0.4751 0.5249 0.4911
14 Se 0.5249 0.4751 0.9911
15 Se 0.6431 0.3569 0.6838
16 Se 0.6962 0.3038 0.3359
17 Se 0.7180 0.2820 0.0192
18 Se 0.9719 0.0281 0.7658

space-group type	Cmc2_1, No. 36
VASP energy	-5.23	eV per atom
V	405.69	Å³/cell
formation energy without anion corrections	-1.257	eV/atom

---

[3]
The following is a DFT calculation (GGA-PBE) of an optimized crystal structure of Al2TcPdSe.

Lattice parameters (Å, degrees): 4.7954 4.7954 4.6183 90.00 90.00 90.00
Sites, in units of the cell vectors:
1 Al 0.0000 0.5000 0.0000
2 Al 0.5000 0.0000 0.0000
3 Tc 0.0000 0.0000 0.5000
4 Pd 0.5000 0.5000 0.5000
5 Se 0.5000 0.5000 0.0000

space-group type	P4/mmm, No. 123
VASP energy	-4.32	eV per atom
V	106.20	Å³/cell
formation energy without anion corrections	0.982	eV/atom

---

[4]
The following is a DFT calculation (GGA-PBE) of an optimized crystal structure of Al17Si4Pd8.

Lattice parameters (Å, degrees): 10.6427 10.6427 10.6427 104.95 104.95 118.95
Sites, in units of the cell vectors:
1 Al 0.0115 0.9273 0.5876
2 Al 0.0762 0.4885 0.4158
3 Al 0.0785 0.8051 0.0807
4 Al 0.1378 0.8768 0.8189
5 Al 0.1603 0.5762 0.0876
6 Al 0.1759 0.1345 0.0212
7 Al 0.1811 0.3622 0.2391
8 Al 0.2243 0.9977 0.4193
9 Al 0.3051 0.7243 0.7266
10 Al 0.3452 0.3241 0.4585
11 Al 0.3655 0.8867 0.0415
12 Al 0.3750 0.1250 0.2500
13 Al 0.3768 0.0579 0.7391
14 Al 0.3867 0.8452 0.5212
15 Al 0.4273 0.3397 0.9158
16 Al 0.4421 0.6811 0.3189
17 Al 0.4977 0.5785 0.7734
18 Al 0.5023 0.4215 0.2266
19 Al 0.5579 0.3189 0.6811
20 Al 0.5727 0.6603 0.0842
21 Al 0.6133 0.1548 0.4788
22 Al 0.6232 0.9421 0.2609
23 Al 0.6250 0.8750 0.7500
24 Al 0.6345 0.1133 0.9585
25 Al 0.6548 0.6759 0.5415
26 Al 0.6949 0.2757 0.2734
27 Al 0.7757 0.0023 0.5807
28 Al 0.8189 0.6378 0.7609
29 Al 0.8241 0.8655 0.9788
30 Al 0.8397 0.4238 0.9124
31 Al 0.8622 0.1232 0.1811
32 Al 0.9215 0.1949 0.9193
33 Al 0.9238 0.5115 0.5842
34 Al 0.9885 0.0727 0.4124
35 Si 0.0682 0.6855 0.2840
36 Si 0.0985 0.2158 0.7840
37 Si 0.1855 0.4015 0.6173
38 Si 0.2842 0.5682 0.8827
39 Si 0.7158 0.4318 0.1173
40 Si 0.8145 0.5985 0.3827
41 Si 0.9015 0.7842 0.2160
42 Si 0.9318 0.3145 0.7160
43 Pd 0.0699 0.6258 0.8624
44 Pd 0.0903 0.0680 0.2138
45 Pd 0.1258 0.7634 0.5559
46 Pd 0.2634 0.2075 0.6376
47 Pd 0.2925 0.4301 0.0559
48 Pd 0.3543 0.8765 0.2862
49 Pd 0.3765 0.5903 0.5222
50 Pd 0.4320 0.1457 0.0222
51 Pd 0.5680 0.8543 0.9778
52 Pd 0.6235 0.4097 0.4778
53 Pd 0.6457 0.1235 0.7138
54 Pd 0.7075 0.5699 0.9441
55 Pd 0.7366 0.7925 0.3624
56 Pd 0.8742 0.2366 0.4441
57 Pd 0.9097 0.9320 0.7862
58 Pd 0.9301 0.3742 0.1376

space-group type	I4_1/a, No. 88
VASP energy	-4.84	eV per atom
V	908.65	Å³/cell
formation energy without anion corrections	-0.465	eV/atom